Here is a relaxed HoZrAu2 crystal from the Alexandria database. Energies are from PBE.

abc: 3.4448 3.4448 7.2702
angles: 90.00 90.00 90.00
Space group P4/mmm (No. 123)
Unique sites:
1 Ho 0.0000 0.0000 0.0000 x1
2 Zr 0.0000 0.0000 0.5000 x1
3 Au 0.5000 0.5000 0.2630 x2

**Calculated volume**: 21.57 Å³ per atom
**Energy relative to the elements**: -61.19 kJ/mol of atoms
**E above lowest polymorph**: 0 meV/atom